Compound: Pr5Dy2In
Source: Alexandria
Functional: GGA-PBE
Structure: optimized geometry

Cell: 10.939 10.939 10.939 Å, 153.35 153.35 38.04°
Fractional positions:
Pr: 0.000 0.000 0.000
Pr: 0.123 0.623 0.500
Pr: 0.377 0.877 0.500
Pr: 0.623 0.123 0.500
Pr: 0.877 0.377 0.500
Dy: 0.249 0.249 0.000
Dy: 0.751 0.751 0.000
In: 0.500 0.500 0.000

Values from the calculation:
**Space-group type**: I4/mmm
**Crystal system**: tetragonal

Compound: Pr9Dy2In
Source: Alexandria
Functional: GGA-PBE
Structure: optimized geometry

Cell: 5.106 5.106 15.609 Å, 90.00 90.00 90.00°
Fractional positions:
Pr: 0.000 0.000 0.000
Pr: 0.000 0.000 0.331
Pr: 0.000 0.000 0.669
Pr: 0.000 0.500 0.161
Pr: 0.000 0.500 0.500
Pr: 0.000 0.500 0.839
Pr: 0.500 0.000 0.161
Pr: 0.500 0.000 0.500
Pr: 0.500 0.000 0.839
Dy: 0.500 0.500 0.332
Dy: 0.500 0.500 0.668
In: 0.500 0.500 0.000

Values from the calculation:
**Space-group type**: P4/mmm
**Crystal system**: tetragonal

ΔH_f (0 K) in eV per atom, matching the order above: -0.1140 -0.0722